3
Lattice="-1.411 1.411 5.704 1.411 -1.411 5.704 1.411 1.411 -5.704" Properties=species:S:1:pos:R:3 comment="CdCoIr, optimized geometry, DFT PBE-GGA" mass_density_g_cm3=13.3 sg="I4mm, No. 107" n_ef_per_ev_cell=3.63 e_form_ev_per_atom=0.1673 relative_energy_kj_per_mol_atoms=0.0 pbc="T T T"
Cd 0.000 0.000 0.000
Co 0.000 0.000 7.716
Ir 0.000 0.000 3.546

***

5
Lattice="4.946 0.000 0.000 0.000 4.946 0.000 0.000 0.000 5.361" Properties=species:S:1:pos:R:3 comment="FeHgBiW2, optimized geometry, DFT PBE-GGA" mass_density_g_cm3=10.5 sg="P4/mmm, No. 123" n_ef_per_ev_cell=8.30 e_form_ev_per_atom=2.9325 relative_energy_kj_per_mol_atoms=0.0 pbc="T T T"
Fe 0.000 0.000 0.000
Hg 2.473 2.473 2.680
Bi 2.473 2.473 0.000
W 0.000 2.473 2.680
W 2.473 0.000 2.680

***

10
Lattice="7.712 0.000 0.000 0.000 7.712 0.000 0.000 0.000 5.213" Properties=species:S:1:pos:R:3 comment="K2Ag2Hg, optimized geometry, DFT PBE-GGA" mass_density_g_cm3=5.3 sg="P4/mbm, No. 127" n_ef_per_ev_cell=3.27 e_form_ev_per_atom=-0.0203 relative_energy_kj_per_mol_atoms=6.3 pbc="T T T"
K 1.367 2.489 0.000
K 2.489 6.345 0.000
K 5.224 1.367 0.000
K 6.345 5.224 0.000
Ag 0.989 4.846 2.607
Ag 2.867 0.989 2.607
Ag 4.846 6.723 2.607
Ag 6.723 2.867 2.607
Hg 0.000 0.000 2.607
Hg 3.856 3.856 2.607

***

4
Lattice="3.966 0.000 0.000 0.000 4.651 0.000 0.000 0.000 5.428" Properties=species:S:1:pos:R:3 comment="TlNiTe2, optimized geometry, DFT PBE-GGA" mass_density_g_cm3=8.6 sg="Pmmm, No. 47" n_ef_per_ev_cell=3.10 total_energy_ev_per_cell=-12.6 pbc="T T T"
Tl 0.000 0.000 0.000
Ni 1.983 0.000 2.714
Te 0.000 2.325 2.714
Te 1.983 2.325 0.000

***

14
Lattice="3.420 1.975 6.795 -3.420 1.975 6.795 0.000 -3.949 6.795" Properties=species:S:1:pos:R:3 comment="Ce3SO3, optimized geometry, DFT PBE-GGA" mass_density_g_cm3=6.0 sg="R-3, No. 148" n_ef_per_ev_cell=27.37 total_energy_ev_per_cell=-114.7 pbc="T T T"
Ce -1.168 -2.012 8.278
Ce -2.326 0.006 12.106
Ce -1.158 2.018 8.278
Ce 1.158 -2.018 12.106
Ce 2.326 -0.006 8.278
Ce 1.168 2.012 12.106
S 0.000 0.000 3.397
S 0.000 0.000 16.987
O -2.233 0.013 7.697
O -1.128 -1.927 12.687
O 1.105 -1.940 7.697
O -1.105 1.940 12.687
O 1.128 1.927 7.697
O 2.233 -0.013 12.687

***

8
Lattice="7.661 0.000 0.000 0.000 4.313 0.000 -2.559 0.000 7.310" Properties=species:S:1:pos:R:3 comment="Ac4PtSeS2, optimized geometry, DFT PBE-GGA" mass_density_g_cm3=8.6 sg="P2/m, No. 10" n_ef_per_ev_cell=5.73 total_energy_ev_per_cell=-48.0 pbc="T T T"
Ac 1.208 0.000 1.787
Ac 0.009 2.156 5.567
Ac 5.093 2.156 1.743
Ac 3.894 0.000 5.523
Pt 3.831 0.000 0.000
Se 2.551 2.156 3.655
S -1.279 0.000 3.655
S 0.000 2.156 0.000

***

3
Lattice="0.000 3.010 3.010 3.010 0.000 3.010 3.010 3.010 0.000" Properties=species:S:1:pos:R:3 comment="BeAlSe, optimized geometry, DFT PBE-GGA" mass_density_g_cm3=3.5 sg="F-43m, No. 216" n_ef_per_ev_cell=1.17 relative_energy_kj_per_mol_atoms=54.8 pbc="T T T"
Be 0.000 0.000 0.000
Al 4.516 4.516 4.516
Se 1.505 1.505 1.505

***

4
Lattice="1.470 0.849 8.213 -1.470 0.849 8.213 0.000 -1.697 8.213" Properties=species:S:1:pos:R:3 comment="TlFe2Co, optimized geometry, DFT PBE-GGA" mass_density_g_cm3=10.1 sg="R-3m, No. 166" n_ef_per_ev_cell=3.76 e_form_ev_per_atom=0.5814 pbc="T T T"
Tl 0.000 0.000 0.000
Fe 0.000 0.000 5.851
Fe 0.000 0.000 18.789
Co 0.000 0.000 12.320